1.
A geometry-optimized Y2FeBi2 structure. Source: Alexandria via LeMat-Bulk, functional PBE.

Values from the calculation:
* total moment: 0.18 μB/f.u.
* calculated total energy: -5.700 eV per atom
* N(E_F): 11.7 states/eV/cell
* energy relative to the lowest polymorph listed for this composition: 0.000 eV per atom
* formation energy from the elements: 130.1 meV per atom

abc: 7.3151 7.3151 5.0627
angles: 90.00 90.00 90.00
Site moments in Bohr magnetons follow the coordinates.
Sites, in units of the cell vectors:
Y1 0.3291 0.8291 0.0000  -0.02
Y2 0.8291 0.6709 0.0000  -0.03
Y3 0.6709 0.1709 0.0000  -0.02
Y4 0.1709 0.3291 0.0000  -0.03
Bi1 0.1540 0.6540 0.5000  0.02
Bi2 0.6540 0.8460 0.5000  0.01
Bi3 0.8460 0.3460 0.5000  0.02
Bi4 0.3460 0.1540 0.5000  0.01
Fe1 0.0000 0.0000 0.0000  0.27
Fe2 0.5000 0.5000 0.0000  0.28

2.
A geometry-optimized KTl2CuF8 structure. Source: Alexandria via LeMat-Bulk, functional PBE.

Values from the calculation:
* total moment: 0.57 μB/f.u.
* calculated total energy: -3.970 eV per atom
* energy relative to the elements, uncorrected: -1895.0 meV per atom
* N(E_F): 2.5 states/eV/cell

abc: 4.3109 5.7532 7.6413
angles: 91.53 85.88 92.81
Site moments in Bohr magnetons follow the coordinates.
Sites, in units of the cell vectors:
K1 0.0000 0.0000 0.5000  0.00
Tl1 0.4411 0.5140 0.7538  -0.01
Tl2 0.5589 0.4860 0.2462  -0.01
Cu1 0.0000 0.0000 0.0000  0.49
F1 0.0691 0.6190 0.2588  -0.01
F2 0.6630 0.7298 0.0046  0.04
F3 0.8141 0.1426 0.2022  0.03
F4 0.9309 0.3810 0.7412  -0.01
F5 0.3370 0.2702 0.9954  0.04
F6 0.1859 0.8574 0.7978  0.03
F7 0.5229 0.7244 0.5007  0.00
F8 0.4771 0.2756 0.4993  0.00